Entry 1:
DFT (GGA-PBE) results for an optimized crystal structure of Sr2InO3.

Results
Spin magnetization, μB/f.u.: 0.0
ΔE_f (raw), eV per atom: -2.05

a = 6.1254 Å, b = 6.1254 Å, c = 6.3303 Å
α = 90.00°, β = 90.00°, γ = 61.53°
Last column: nearest neighbours and their distance in Å.
Atoms (fractional coordinates):
Sr1 0.0015 0.3290 0.0000  6 O 2.51-2.65
Sr2 0.3290 0.0015 0.5000  6 O 2.51-2.65
Sr3 0.6710 0.9985 0.0000  6 O 2.51-2.65
Sr4 0.9985 0.6710 0.5000  6 O 2.51-2.65
In1 0.3517 0.6483 0.0613  3 O 2.20-2.26
In2 0.6483 0.3517 0.5613  3 O 2.20-2.26
O1 0.0416 0.9584 0.2235  1 In 2.20
O2 0.3239 0.3420 0.2376  1 In 2.26, 1 Sr 2.51
O3 0.3420 0.3239 0.7376  1 In 2.26, 1 Sr 2.51
O4 0.6580 0.6761 0.2376  1 In 2.26, 1 Sr 2.51
O5 0.6761 0.6580 0.7376  1 In 2.26, 1 Sr 2.51
O6 0.9584 0.0416 0.7235  1 In 2.20

Entry 2:
DFT (GGA-PBE) results for an optimized crystal structure of SrIn2O3.

Results
Spin magnetization, μB/f.u.: 0.0
ΔE_f (raw), eV per atom: -1.24

a = 5.9301 Å, b = 5.9301 Å, c = 6.5805 Å
α = 90.00°, β = 90.00°, γ = 60.08°
Last column: nearest neighbours and their distance in Å.
Atoms (fractional coordinates):
Sr1 0.0000 0.0000 0.2500  3 O 2.45
Sr2 0.0000 0.0000 0.7500  3 O 2.45
In1 0.3333 0.3333 0.0000  6 O 2.43
In2 0.3333 0.3333 0.5000  6 O 2.43
In3 0.6667 0.6667 0.0000  6 O 2.43
In4 0.6667 0.6667 0.5000  6 O 2.43
O1 0.9995 0.4127 0.7500  4 In 2.43, 1 Sr 2.45
O2 0.0005 0.5873 0.2500  4 In 2.43, 1 Sr 2.45
O3 0.4121 0.5879 0.7500  4 In 2.43, 1 Sr 2.45
O4 0.4127 0.9995 0.2500  4 In 2.43, 1 Sr 2.45
O5 0.5873 0.0005 0.7500  4 In 2.43, 1 Sr 2.45
O6 0.5879 0.4121 0.2500  4 In 2.43, 1 Sr 2.45

Entry 3:
DFT (GGA-PBE) results for an optimized crystal structure of SrIn2O.

Results
Spin magnetization, μB/f.u.: 0.0
ΔE_f (raw), eV per atom: -0.74

a = 6.8985 Å, b = 6.8985 Å, c = 6.8985 Å
α = 97.43°, β = 97.43°, γ = 137.84°
Last column: nearest neighbours and their distance in Å.
Atoms (fractional coordinates):
Sr1 0.0000 0.0000 0.0000  2 O 2.48
Sr2 0.7500 0.2500 0.5000  2 O 2.48
In1 0.2190 0.1250 0.5940  2 O 2.75, 2 In 3.01
In2 0.3750 0.7810 0.9060  2 O 2.75, 2 In 3.01
In3 0.5310 0.6250 0.4060  2 O 2.75, 2 In 3.01
In4 0.8750 0.4690 0.0940  2 O 2.75, 2 In 3.01
O1 0.2500 0.7500 0.5000  2 Sr 2.48, 4 In 2.75
O2 0.5000 0.5000 0.0000  2 Sr 2.48, 4 In 2.75

Entry 4:
DFT (GGA-PBE) results for an optimized crystal structure of Sr2TaInO6.

Results
Spin magnetization, μB/f.u.: 0.0
ΔE_f (raw), eV per atom: -2.68

a = 5.7919 Å, b = 5.7919 Å, c = 5.8371 Å
α = 119.98°, β = 119.98°, γ = 60.17°
Last column: nearest neighbours and their distance in Å.
Atoms (fractional coordinates):
Sr1 0.2494 0.2494 0.2396  5 O 2.52-2.64
Sr2 0.7506 0.7506 0.7604  5 O 2.52-2.64
Ta1 0.5000 0.5000 0.0000  6 O 2.00
In1 0.0000 0.0000 0.5000  6 O 2.17-2.19
O1 0.2153 0.6978 0.1947  1 Ta 2.00, 1 In 2.17
O2 0.2619 0.2619 0.6829  1 Ta 2.00, 1 In 2.19
O3 0.3022 0.7847 0.8053  1 Ta 2.00, 1 In 2.17
O4 0.6978 0.2153 0.1947  1 Ta 2.00, 1 In 2.17
O5 0.7381 0.7381 0.3171  1 Ta 2.00, 1 In 2.19
O6 0.7847 0.3022 0.8053  1 Ta 2.00, 1 In 2.17